VASP calculation (GGA-PBE) on Sr8Ga2Pt after structural relaxation.

Theoretical density: 4.199 g/cm3
E_form: -0.296 eV per atom
SG: No. 12
Total DFT energy (no corrections): -0.09622 hartree per atom

```
Sr8Ga2Pt
1.0
10.030 -2.797 0.000
10.030 2.797 0.000
-2.079 0.000 7.299
Sr Ga Pt
8 2 1
direct
0.033 0.033 0.302
0.213 0.213 0.814
0.342 0.342 0.539
0.408 0.408 0.079
0.592 0.592 0.921
0.658 0.658 0.461
0.787 0.787 0.186
0.967 0.967 0.698
0.186 0.186 0.219
0.814 0.814 0.781
0.500 0.500 0.500
```